[1]
# SmSe2O8

A relaxed structure of SmSe2O8 (PBE, Alexandria).

POSCAR file:
```
SmSe2O8
1.0
6.612 0.000 0.000
0.000 7.162 0.000
0.000 0.000 16.367
O Sm Se
32 4 8
Direct
0.831 0.686 0.290
0.024 0.475 0.744
0.413 0.786 0.426
0.181 0.833 0.231
0.587 0.286 0.074
0.976 0.975 0.756
0.669 0.314 0.790
0.647 0.272 0.003
0.331 0.814 0.710
0.530 0.716 0.025
0.479 0.936 0.890
0.353 0.571 0.883
0.819 0.333 0.269
0.913 0.714 0.574
0.169 0.186 0.210
0.087 0.214 0.926
0.853 0.929 0.117
0.524 0.025 0.256
0.470 0.216 0.475
0.353 0.772 0.497
0.147 0.429 0.383
0.319 0.167 0.731
0.476 0.525 0.244
0.147 0.228 0.997
0.021 0.064 0.390
0.681 0.667 0.769
0.970 0.284 0.525
0.521 0.436 0.610
0.647 0.071 0.617
0.979 0.564 0.110
0.030 0.784 0.975
0.853 0.728 0.503
0.127 0.507 0.240
0.873 0.007 0.260
0.627 0.993 0.760
0.373 0.493 0.740
0.164 0.998 0.687
0.125 0.240 0.443
0.664 0.502 0.313
0.336 0.002 0.187
0.375 0.760 0.943
0.875 0.740 0.057
0.625 0.260 0.557
0.836 0.498 0.813
```

Values from the calculation:
uncorrected energy: -259.27 eV for the cell shown
size of the total moment: 2.06 μB/f.u.
excess energy over the best structure of this formula in the dataset: 0.000 eV/f.u.
V: 194 Å³/f.u.
uncorrected formation energy: -118.1 kJ per mole of atoms

***

[2]
# Sm2SeO2

A relaxed structure of Sm2SeO2 (PBE, Alexandria).

POSCAR file:
```
Sm2SeO2
1.0
3.956 0.000 0.000
-1.978 3.426 0.000
0.000 0.000 6.985
Se O Sm
1 2 2
Direct
0.000 0.000 0.000
0.333 0.667 0.626
0.667 0.333 0.374
0.333 0.667 0.290
0.667 0.333 0.710
```

Values from the calculation:
uncorrected energy: -38.09 eV for the cell shown
size of the total moment: 0.00 μB/f.u.
V: 95 Å³/f.u.
uncorrected formation energy: -294.2 kJ per mole of atoms

***

[3]
# Sm4Se5O

A relaxed structure of Sm4Se5O (PBE, Alexandria).

POSCAR file:
```
Sm4Se5O
1.0
-0.813 -0.144 3.804
3.094 -6.927 0.399
6.950 7.260 -0.231
Sm Se O
4 5 1
Direct
0.000 0.219 0.000
0.000 0.781 0.000
0.719 0.219 0.437
0.281 0.781 0.563
0.840 0.594 0.681
0.160 0.913 0.319
0.160 0.406 0.319
0.500 0.500 0.000
0.840 0.087 0.681
0.500 0.000 0.000
```

Values from the calculation:
uncorrected energy: -60.75 eV for the cell shown
size of the total moment: 0.00 μB/f.u.
V: 269 Å³/f.u.
uncorrected formation energy: -188.0 kJ per mole of atoms